This record from Alexandria via LeMat-Bulk describes a relaxed structure of PmNd8Tm6. The functional is PBE.

Lattice parameters (Å, degrees): 5.919 9.905 9.905 120.00 90.00 90.00
Fractional coordinates of all 15 atoms:
Pm1 0.500 0.000 0.000
Nd1 0.774 0.052 0.277
Nd2 0.774 0.723 0.775
Nd3 0.774 0.225 0.948
Nd4 0.226 0.948 0.723
Nd5 0.226 0.277 0.225
Nd6 0.226 0.775 0.052
Nd7 0.775 0.333 0.667
Nd8 0.225 0.667 0.333
Tm1 0.741 0.620 0.094
Tm2 0.741 0.906 0.526
Tm3 0.741 0.474 0.380
Tm4 0.259 0.380 0.906
Tm5 0.259 0.094 0.474
Tm6 0.259 0.526 0.620

Final energy (eV/atom): -4.483
ρ (g/cm³): 7.635
Formation energy from the elements (eV/atom): 0.165
N(E_F) (states/eV/cell): 24.1

***

This record from Alexandria via LeMat-Bulk describes a relaxed structure of CdNi2W. The functional is PBE.

Lattice parameters (Å, degrees): 4.790 4.790 4.790 133.27 133.27 68.22
Fractional coordinates of all 4 atoms:
Cd1 0.750 0.250 0.500
Ni1 0.000 0.000 0.000
Ni2 0.250 0.750 0.500
W1 0.500 0.500 0.000

Final energy (eV/atom): -5.888
ρ (g/cm³): 12.002
Formation energy from the elements (eV/atom): 0.470
N(E_F) (states/eV/cell): 4.0